Entry 1:
VASP calculation (GGA-PBE) on a relaxed structure of La2Ta4Br.

## Properties
Total magnetic moment in μB/atom: 0.137
ΔE_f (raw) in eV per atom: 1.3330
Space group: No. 139

Structure (POSCAR):
```
La2Ta4Br
1.0
4.762 0.000 0.000
0.000 4.762 0.000
0.000 0.000 16.763
La Ta Br
4 8 2
Direct
0.000 0.000 0.153
0.000 0.000 0.847
0.500 0.500 0.347
0.500 0.500 0.653
0.000 0.000 0.357
0.000 0.000 0.643
0.000 0.500 0.000
0.000 0.500 0.500
0.500 0.000 0.000
0.500 0.000 0.500
0.500 0.500 0.143
0.500 0.500 0.857
0.000 0.000 0.500
0.500 0.500 0.000
```

Entry 2:
VASP calculation (GGA-PBE) on a relaxed structure of TaW.

## Properties
DFT formation energy in eV/atom: -0.10
Total magnetic moment in μB/atom: 0.000
Space group: No. 8

Structure (POSCAR):
```
TaW
1.0
10.315 0.000 0.000
0.000 3.229 0.000
-2.058 0.000 6.141
Ta W
6 6
Direct
0.000 0.000 0.000
0.000 0.000 0.494
0.326 0.000 0.659
0.500 0.500 0.000
0.500 0.500 0.494
0.826 0.500 0.659
0.166 0.500 0.833
0.167 0.500 0.327
0.327 0.000 0.160
0.666 0.000 0.833
0.667 0.000 0.327
0.827 0.500 0.160
```

Entry 3:
VASP calculation (GGA-PBE) on a relaxed structure of CaDy2WN4.

## Properties
Total magnetic moment in μB/atom: 0.000
ΔE_f (raw) in eV per atom: -1.0620
Space group: No. 63

Structure (POSCAR):
```
CaDy2WN4
1.0
1.666 -6.042 0.000
1.666 6.042 0.000
0.000 0.000 12.201
Ca Dy W N
2 4 2 8
Direct
0.073 0.927 0.750
0.927 0.073 0.250
0.372 0.628 0.538
0.372 0.628 0.962
0.628 0.372 0.038
0.628 0.372 0.462
0.183 0.817 0.250
0.817 0.183 0.750
0.000 0.000 0.000
0.000 0.000 0.500
0.263 0.737 0.118
0.263 0.737 0.382
0.427 0.573 0.750
0.573 0.427 0.250
0.737 0.263 0.618
0.737 0.263 0.882
```

Entry 4:
VASP calculation (GGA-PBE) on a relaxed structure of Ba2SrCaSn.

## Properties
DFT formation energy in eV/atom: -0.15
Total magnetic moment in μB/atom: 0.310
Space group: No. 123

Structure (POSCAR):
```
Ba2SrCaSn
1.0
6.830 0.000 0.000
0.000 6.830 0.000
0.000 0.000 6.137
Ba Sr Ca Sn
2 1 1 1
Direct
0.000 0.500 0.000
0.500 0.000 0.000
0.000 0.000 0.500
0.500 0.500 0.500
0.500 0.500 0.000
```

Entry 5:
VASP calculation (GGA-PBE) on a relaxed structure of Zr4BiC.

## Properties
DFT formation energy in eV/atom: -0.32
Total magnetic moment in μB/atom: 0.000
Space group: No. 15

Structure (POSCAR):
```
Zr4BiC
1.0
3.898 -6.640 0.000
3.898 6.640 0.000
-2.731 0.000 5.041
Zr Bi C
8 2 2
Direct
0.086 0.673 0.879
0.139 0.248 0.692
0.248 0.139 0.192
0.327 0.914 0.621
0.673 0.086 0.379
0.752 0.861 0.808
0.861 0.752 0.308
0.914 0.327 0.121
0.394 0.606 0.250
0.606 0.394 0.750
0.066 0.934 0.750
0.934 0.066 0.250
```

Entry 6:
VASP calculation (GGA-PBE) on a relaxed structure of YSi2H2.

## Properties
Uncorrected energy in eV for the cell shown: -45.690
Total magnetic moment in μB/atom: 0.000
Space group: No. 139

Structure (POSCAR):
```
YSi2H2
1.0
3.997 0.000 0.000
0.000 3.997 0.000
0.000 0.000 8.163
Y Si H
2 4 4
Direct
0.000 0.000 0.000
0.500 0.500 0.500
0.000 0.000 0.360
0.000 0.000 0.640
0.500 0.500 0.140
0.500 0.500 0.860
0.000 0.500 0.250
0.000 0.500 0.750
0.500 0.000 0.250
0.500 0.000 0.750
```

Entry 7:
VASP calculation (GGA-PBE) on a relaxed structure of KLi2Tc.

## Properties
DFT formation energy in eV/atom: 0.82
Total magnetic moment in μB/atom: 0.270
Space group: No. 71

Structure (POSCAR):
```
KLi2Tc
1.0
2.676 0.000 0.000
0.000 6.155 0.000
0.000 0.000 11.733
K Li Tc
2 4 2
Direct
0.000 0.000 0.000
0.500 0.500 0.500
0.000 0.500 0.201
0.000 0.500 0.799
0.500 0.000 0.299
0.500 0.000 0.701
0.000 0.000 0.500
0.500 0.500 0.000
```

Entry 8:
VASP calculation (GGA-PBE) on a relaxed structure of Sm2AlAu.

## Properties
DFT formation energy in eV/atom: -0.57
Total magnetic moment in μB/atom: 0.000
Space group: No. 38

Structure (POSCAR):
```
Sm2AlAu
1.0
4.613 0.000 0.000
0.000 3.813 0.000
0.000 0.000 11.654
Sm Al Au
4 2 2
Direct
0.000 0.000 0.000
0.000 0.500 0.500
0.500 0.000 0.299
0.500 0.500 0.799
0.500 0.000 0.579
0.500 0.500 0.079
0.000 0.000 0.721
0.000 0.500 0.221
```

Entry 9:
VASP calculation (GGA-PBE) on a relaxed structure of KSe2Cl.

## Properties
Total magnetic moment in μB/atom: 0.026
ΔE_f (raw) in eV per atom: -0.3926
Space group: No. 12

Structure (POSCAR):
```
KSe2Cl
1.0
5.516 0.000 0.000
0.000 13.955 0.000
-0.073 0.000 2.871
K Se Cl
2 4 2
Direct
0.000 0.000 0.000
0.500 0.500 0.000
0.250 0.250 0.500
0.250 0.750 0.500
0.750 0.250 0.500
0.750 0.750 0.500
0.000 0.500 0.000
0.500 0.000 0.000
```

Entry 10:
VASP calculation (GGA-PBE) on a relaxed structure of CrSb2TeH.

## Properties
Uncorrected energy in eV for the cell shown: -19.675
Total magnetic moment in μB/atom: 0.033
Space group: No. 123

Structure (POSCAR):
```
CrSb2TeH
1.0
4.300 0.000 0.000
0.000 4.300 0.000
0.000 0.000 5.475
Cr Sb Te H
1 2 1 1
Direct
0.000 0.000 0.000
0.000 0.500 0.500
0.500 0.000 0.500
0.500 0.500 0.000
0.500 0.500 0.500
```

Entry 11:
VASP calculation (GGA-PBE) on a relaxed structure of Sr2ZnTcN.

## Properties
Total magnetic moment in μB/atom: 0.000
ΔE_f (raw) in eV per atom: -0.2252
Space group: No. 123

Structure (POSCAR):
```
Sr2ZnTcN
1.0
5.431 0.000 0.000
0.000 5.431 0.000
0.000 0.000 3.881
Sr Zn Tc N
2 1 1 1
Direct
0.000 0.500 0.000
0.500 0.000 0.000
0.000 0.000 0.500
0.500 0.500 0.500
0.500 0.500 0.000
```

Entry 12:
VASP calculation (GGA-PBE) on a relaxed structure of TcSbP2.

## Properties
Total magnetic moment in μB/atom: 0.000
ΔE_f (raw) in eV per atom: -0.0688
Space group: No. 8

Structure (POSCAR):
```
TcSbP2
1.0
7.988 0.000 0.000
0.000 3.158 0.000
-0.586 0.000 6.367
Tc Sb P
2 2 4
Direct
0.000 0.000 0.000
0.500 0.500 0.000
0.273 0.000 0.711
0.773 0.500 0.711
0.036 0.500 0.306
0.218 0.500 0.088
0.536 0.000 0.306
0.718 0.000 0.088
```

Entry 13:
VASP calculation (GGA-PBE) on a relaxed structure of DyCd6Pd12.

## Properties
DFT formation energy in eV/atom: -0.23
Total magnetic moment in μB/atom: 0.000
Space group: No. 148

Structure (POSCAR):
```
DyCd6Pd12
1.0
5.550 3.205 3.234
-5.550 3.205 3.234
0.000 -6.409 3.234
Dy Cd Pd
1 6 12
Direct
0.000 0.000 0.000
0.177 0.179 0.445
0.179 0.445 0.177
0.445 0.177 0.179
0.555 0.823 0.821
0.821 0.555 0.823
0.823 0.821 0.555
0.000 0.256 0.744
0.000 0.744 0.256
0.180 0.596 0.595
0.256 0.000 0.744
0.256 0.744 0.000
0.404 0.405 0.820
0.405 0.820 0.404
0.595 0.180 0.596
0.596 0.595 0.180
0.744 0.000 0.256
0.744 0.256 0.000
0.820 0.404 0.405
```

Entry 14:
VASP calculation (GGA-PBE) on a relaxed structure of KSb2TeS.

## Properties
Total magnetic moment in μB/atom: 0.518
ΔE_f (raw) in eV per atom: 1.4648
Space group: No. 123

Structure (POSCAR):
```
KSb2TeS
1.0
5.974 0.000 0.000
0.000 5.974 0.000
0.000 0.000 5.908
K Sb Te S
1 2 1 1
Direct
0.000 0.000 0.000
0.000 0.500 0.000
0.500 0.000 0.000
0.000 0.000 0.500
0.500 0.500 0.500
```

Entry 15:
VASP calculation (GGA-PBE) on a relaxed structure of IrBr3N.

## Properties
Total magnetic moment in μB/atom: 0.514
ΔE_f (raw) in eV per atom: 1.7891
Space group: No. 221

Structure (POSCAR):
```
IrBr3N
1.0
4.620 0.000 0.000
0.000 4.620 0.000
0.000 0.000 4.620
Ir Br N
1 3 1
Direct
0.000 0.000 0.000
0.000 0.500 0.500
0.500 0.000 0.500
0.500 0.500 0.000
0.500 0.500 0.500
```

Entry 16:
VASP calculation (GGA-PBE) on a relaxed structure of Ta4Au5.

## Properties
DFT formation energy in eV/atom: -0.01
Total magnetic moment in μB/atom: 0.000
Space group: No. 139

Structure (POSCAR):
```
Ta4Au5
1.0
-4.756 4.756 1.807
4.756 -4.756 1.807
4.756 4.756 -1.807
Ta Au
4 5
Direct
0.000 0.341 0.341
0.000 0.659 0.659
0.341 0.000 0.341
0.659 0.000 0.659
0.000 0.000 0.000
0.331 0.331 0.662
0.331 0.669 0.000
0.669 0.331 0.000
0.669 0.669 0.338
```

Entry 17:
VASP calculation (GGA-PBE) on a relaxed structure of MnSn3.

## Properties
DFT formation energy in eV/atom: 0.15
Total magnetic moment in μB/atom: 0.746
Space group: No. 44

Structure (POSCAR):
```
MnSn3
1.0
3.260 0.000 0.000
0.000 8.928 0.000
0.000 0.000 6.402
Mn Sn
2 6
Direct
0.000 0.000 0.000
0.500 0.500 0.500
0.000 0.312 0.240
0.000 0.500 0.841
0.000 0.688 0.240
0.500 0.000 0.341
0.500 0.188 0.740
0.500 0.812 0.740
```

Entry 18:
VASP calculation (GGA-PBE) on a relaxed structure of LiBiTe.

## Properties
Total magnetic moment in μB/atom: 0.000
ΔE_f (raw) in eV per atom: -0.4874
Space group: No. 5

Structure (POSCAR):
```
LiBiTe
1.0
7.182 0.000 0.000
0.000 6.551 0.000
-0.372 0.000 8.556
Li Bi Te
4 4 4
Direct
0.000 0.000 0.000
0.000 0.494 0.000
0.500 0.500 0.000
0.500 0.994 0.000
0.213 0.250 0.501
0.287 0.750 0.499
0.713 0.750 0.501
0.787 0.250 0.499
0.244 0.247 0.840
0.256 0.747 0.160
0.744 0.747 0.840
0.756 0.247 0.160
```

Entry 19:
VASP calculation (GGA-PBE) on a relaxed structure of Mg2Ga5IrRu2.

## Properties
DFT formation energy in eV/atom: -0.26
Total magnetic moment in μB/atom: 0.000
Space group: No. 127

Structure (POSCAR):
```
Mg2Ga5IrRu2
1.0
10.599 0.000 0.000
0.000 10.599 0.000
0.000 0.000 3.016
Mg Ga Ir Ru
4 10 2 4
Direct
0.171 0.329 0.000
0.329 0.829 0.000
0.671 0.171 0.000
0.829 0.671 0.000
0.000 0.500 0.500
0.064 0.810 0.500
0.190 0.064 0.500
0.310 0.564 0.500
0.436 0.310 0.500
0.500 0.000 0.500
0.564 0.690 0.500
0.690 0.436 0.500
0.810 0.936 0.500
0.936 0.190 0.500
0.000 0.000 0.000
0.500 0.500 0.000
0.135 0.635 0.000
0.365 0.135 0.000
0.635 0.865 0.000
0.865 0.365 0.000
```

Entry 20:
VASP calculation (GGA-PBE) on a relaxed structure of InSi2Sb.

## Properties
Total magnetic moment in μB/atom: 0.000
ΔE_f (raw) in eV per atom: 0.2457
Space group: No. 8

Structure (POSCAR):
```
InSi2Sb
1.0
6.575 0.000 0.000
0.000 3.856 0.000
-2.306 0.000 7.044
In Si Sb
2 4 2
Direct
0.000 0.000 0.000
0.500 0.500 0.000
0.025 0.500 0.577
0.244 0.000 0.733
0.525 0.000 0.577
0.744 0.500 0.733
0.273 0.500 0.319
0.773 0.000 0.319
```

Entry 21:
VASP calculation (GGA-PBE) on a relaxed structure of HfTlAs2.

## Properties
DFT formation energy in eV/atom: -0.15
Total magnetic moment in μB/atom: 0.000
Space group: No. 122

Structure (POSCAR):
```
HfTlAs2
1.0
6.427 0.000 0.000
0.000 6.427 0.000
0.000 0.000 12.296
Hf Tl As
4 4 8
Direct
0.000 0.000 0.000
0.000 0.500 0.250
0.500 0.000 0.750
0.500 0.500 0.500
0.000 0.000 0.500
0.000 0.500 0.750
0.500 0.000 0.250
0.500 0.500 0.000
0.208 0.250 0.125
0.250 0.708 0.375
0.250 0.792 0.875
0.292 0.250 0.625
0.708 0.750 0.625
0.750 0.208 0.875
0.750 0.292 0.375
0.792 0.750 0.125
```

Entry 22:
VASP calculation (GGA-PBE) on a relaxed structure of ZrSc5.

## Properties
DFT formation energy in eV/atom: 0.41
Total magnetic moment in μB/atom: 0.206
Space group: No. 191

Structure (POSCAR):
```
ZrSc5
1.0
5.825 0.000 0.000
-2.913 5.045 0.000
0.000 0.000 5.214
Zr Sc
1 5
Direct
0.000 0.000 0.000
0.000 0.500 0.500
0.333 0.667 0.000
0.500 0.000 0.500
0.500 0.500 0.500
0.667 0.333 0.000
```

Entry 23:
VASP calculation (GGA-PBE) on a relaxed structure of Ce2SmGa3.

## Properties
DFT formation energy in eV/atom: -0.20
Total magnetic moment in μB/atom: 0.123
Space group: No. 74

Structure (POSCAR):
```
Ce2SmGa3
1.0
-4.885 5.274 2.972
4.885 -5.274 2.972
4.885 5.274 -2.972
Ce Sm Ga
4 2 6
Direct
0.255 0.173 0.081
0.408 0.827 0.581
0.592 0.173 0.419
0.745 0.827 0.919
0.084 0.334 0.750
0.916 0.666 0.250
0.000 0.279 0.279
0.000 0.721 0.721
0.500 0.000 0.000
0.500 0.279 0.779
0.500 0.500 0.500
0.500 0.721 0.221
```